Entry 1:
LiSb2Ru2 | meta-GGA SCAN | single point on PBEsol structure

Summary:
SG   I4/mmm, No. 139
Total moment   0.00 Bohr magnetons per cell
E_form (uncorrected)   0.3 eV per formula unit

```
LiSb2Ru2
1.0
-0.9140 3.1162 -3.1515
-3.5145 -2.4701 -1.4231
-0.7516 2.0497 5.4937
Sb Li Ru
2 1 2
Direct
0.2500 0.7500 0.5000 Sb
0.7500 0.2500 0.5000 Sb
0.0000 0.0000 0.0000 Li
0.3829 0.3829 0.7658 Ru
0.6171 0.6171 0.2342 Ru
```

***

Entry 2:
CaAlCu | meta-GGA SCAN | single point on PBEsol structure

Summary:
SG   F-43m, No. 216
Total moment   0.00 Bohr magnetons per cell
DFT formation energy   0.706 eV per atom

```
CaAlCu
1.0
4.7123 0.0000 0.0000
2.3562 4.0810 0.0000
2.3562 1.3603 3.8476
Ca Al Cu
1 1 1
Direct
0.2500 0.2500 0.2500 Ca
0.5000 0.5000 0.5000 Al
0.0000 0.0000 0.0000 Cu
```

***

Entry 3:
PWAu2 | meta-GGA SCAN | single point on PBEsol structure

Summary:
SG   F-43m, No. 216
Total moment   0.00 Bohr magnetons per cell
DFT formation energy   0.589 eV per atom
Offset from the most stable computed form   0.2649 eV per atom

```
PWAu2
1.0
4.4457 0.0000 0.0000
2.2229 3.8501 0.0000
2.2229 1.2834 3.6299
Au P W
2 1 1
Direct
0.0000 0.0000 0.0000 Au
0.2500 0.2500 0.2500 Au
0.5000 0.5000 0.5000 P
0.7500 0.7500 0.7500 W
```

***

Entry 4:
IrRu2Au | meta-GGA SCAN | single point on PBEsol structure

Summary:
SG   I-4m2, No. 119
Total moment   0.00 Bohr magnetons per cell
DFT formation energy   0.320 eV per atom
Offset from the most stable computed form   0.0000 eV per atom

```
IrRu2Au
1.0
-0.5742 -3.6273 1.0510
3.4921 -0.9147 -1.2490
0.0140 3.0630 3.6374
Au Ir Ru
1 1 2
Direct
0.5000 0.5000 0.0000 Au
0.2500 0.7500 0.5000 Ir
0.0000 0.0000 0.0000 Ru
0.7500 0.2500 0.5000 Ru
```

***

Entry 5:
Ba2CaMn | meta-GGA SCAN | single point on PBEsol structure

Summary:
SG   P4/mmm, No. 123
Total moment   3.44 Bohr magnetons per cell
DFT formation energy   0.162 eV per atom
Offset from the most stable computed form   0.0074 eV per atom

```
Ba2CaMn
1.0
-0.6198 3.9977 -0.1726
-1.6064 -0.4135 -3.6937
-8.8025 -1.1937 3.9619
Ca Mn Ba
1 1 2
Direct
0.5000 0.5000 0.5000 Ca
0.5000 0.5000 0.0000 Mn
0.0000 0.0000 0.1965 Ba
0.0000 0.0000 0.8035 Ba
```

***

Entry 6:
Ba2AlH7 | meta-GGA SCAN | single point on PBEsol structure

Summary:
SG   C2/c, No. 15
Total moment   0.00 Bohr magnetons per cell
Uncorrected energy   -11.621 eV/atom

```
Ba2AlH7
1.0
-4.5286 5.3288 4.6647
2.7992 -0.0692 8.0934
5.5898 4.3375 -4.8252
Ba Al H
8 4 28
Direct
0.4831 0.9298 0.7441 Ba
0.0169 0.7441 0.9298 Ba
0.5169 0.0702 0.2559 Ba
0.9831 0.2559 0.0702 Ba
0.4752 0.4323 0.7168 Ba
0.0248 0.7168 0.4323 Ba
0.5248 0.5677 0.2832 Ba
0.9752 0.2832 0.5677 Ba
0.7971 0.0337 0.6778 Al
0.7029 0.6778 0.0337 Al
0.2029 0.9663 0.3222 Al
0.2971 0.3222 0.9663 Al
0.5713 0.1046 0.5996 H
0.9287 0.5996 0.1046 H
0.4287 0.8954 0.4004 H
0.0713 0.4004 0.8954 H
0.7795 0.8171 0.6161 H
0.7205 0.6161 0.8171 H
0.2205 0.1829 0.3839 H
0.2795 0.3839 0.1829 H
0.8277 0.0195 0.4820 H
0.6723 0.4820 0.0195 H
0.1723 0.9805 0.5180 H
0.3277 0.5180 0.9805 H
0.0257 0.9533 0.7518 H
0.4743 0.7518 0.9533 H
0.9743 0.0467 0.2482 H
0.5257 0.2482 0.0467 H
0.8099 0.2453 0.7543 H
0.6901 0.7543 0.2453 H
0.1901 0.7547 0.2457 H
0.3099 0.2457 0.7547 H
0.7787 0.0411 0.8776 H
0.7213 0.8776 0.0411 H
0.2213 0.9589 0.1224 H
0.2787 0.1224 0.9589 H
0.1250 0.5446 0.6624 H
0.3750 0.6624 0.5446 H
0.8750 0.4554 0.3376 H
0.6250 0.3376 0.4554 H
```